# 1
PuTaPbO6 GGA-PBE relaxed; DOS(E_F) = 1.1435 states/eV per atom; formation energy (no corrections) = -2.43 eV per atom
1.0
5.611 0.000 0.000
-2.805 4.859 0.000
0.000 0.000 10.528
Pu Ta Pb O
2 2 2 12
Direct
0.333 0.667 0.250 Pu
0.667 0.333 0.750 Pu
0.333 0.667 0.750 Ta
0.667 0.333 0.250 Ta
0.000 0.000 0.000 Pb
0.000 0.000 0.500 Pb
0.017 0.383 0.646 O
0.017 0.635 0.854 O
0.365 0.383 0.854 O
0.365 0.983 0.646 O
0.383 0.017 0.146 O
0.383 0.365 0.354 O
0.617 0.635 0.646 O
0.617 0.983 0.854 O
0.635 0.017 0.354 O
0.635 0.617 0.146 O
0.983 0.365 0.146 O
0.983 0.617 0.354 O

***

# 2
Na2CeU2Se6 GGA-PBE relaxed; DOS(E_F) = 1.4736 states/eV per atom; formation energy (no corrections) = -1.34 eV per atom
1.0
3.621 -6.316 0.000
3.621 6.316 0.000
-2.405 0.000 7.038
Na Ce U Se
2 1 2 6
Direct
0.166 0.834 0.000 Na
0.834 0.166 0.000 Na
0.000 0.000 0.500 Ce
0.335 0.665 0.500 U
0.665 0.335 0.500 U
0.072 0.416 0.727 Se
0.264 0.264 0.270 Se
0.416 0.072 0.727 Se
0.584 0.928 0.273 Se
0.736 0.736 0.730 Se
0.928 0.584 0.273 Se

***

# 3
Hf2CdGa GGA-PBE relaxed; energy above the lowest structure with this stoichiometry = 0.126 eV per atom; DOS(E_F) = 1.0527 states/eV per atom; E_form = -0.085 eV/atom
1.0
0.000 3.413 3.413
3.413 0.000 3.413
3.413 3.413 0.000
Hf Cd Ga
2 1 1
Direct
0.250 0.250 0.250 Hf
0.750 0.750 0.750 Hf
0.000 0.000 0.000 Cd
0.500 0.500 0.500 Ga

***

# 4
Al2CrPb GGA-PBE relaxed; DOS(E_F) = 0.6746 states/eV per atom; E_form = 0.361 eV/atom
1.0
-2.042 2.042 4.419
2.042 -2.042 4.419
2.042 2.042 -4.419
Al Cr Pb
2 1 1
Direct
0.250 0.750 0.500 Al
0.750 0.250 0.500 Al
0.000 0.000 0.000 Cr
0.500 0.500 0.000 Pb

***

# 5
Mg2Tl2Cd GGA-PBE relaxed; energy above the lowest structure with this stoichiometry = 0.133 eV per atom; DOS(E_F) = 0.5770 states/eV per atom; E_form = 0.164 eV/atom
1.0
-2.197 2.197 7.250
2.197 -2.197 7.250
2.197 2.197 -7.250
Mg Tl Cd
2 2 1
Direct
0.098 0.098 0.000 Mg
0.902 0.902 0.000 Mg
0.250 0.750 0.500 Tl
0.750 0.250 0.500 Tl
0.500 0.500 0.000 Cd

***

# 6
BaSr2In9 GGA-PBE relaxed; DOS(E_F) = 0.4643 states/eV per atom; E_form = -0.316 eV/atom
1.0
3.159 1.824 10.510
-3.159 1.824 10.510
0.000 -3.648 10.510
Ba Sr In
1 2 9
Direct
0.000 0.000 0.000 Ba
0.141 0.141 0.141 Sr
0.859 0.859 0.859 Sr
0.079 0.588 0.588 In
0.336 0.336 0.336 In
0.412 0.412 0.921 In
0.412 0.921 0.412 In
0.500 0.500 0.500 In
0.588 0.079 0.588 In
0.588 0.588 0.079 In
0.664 0.664 0.664 In
0.921 0.412 0.412 In

***

# 7
Gd3DyCl GGA-PBE relaxed; DOS(E_F) = 1.1705 states/eV per atom; formation energy (no corrections) = -0.45 eV per atom
1.0
5.341 0.000 0.000
0.000 5.341 0.000
0.000 0.000 5.341
Gd Dy Cl
3 1 1
Direct
0.000 0.000 0.500 Gd
0.000 0.500 0.000 Gd
0.500 0.000 0.000 Gd
0.500 0.500 0.500 Dy
0.000 0.000 0.000 Cl

***

# 8
ErPu2S5 GGA-PBE relaxed; DOS(E_F) = 1.9582 states/eV per atom; formation energy (no corrections) = -1.46 eV per atom
1.0
0.000 4.318 7.570
2.640 0.000 7.570
2.640 4.318 0.000
Er Pu S
1 2 5
Direct
0.000 0.000 0.000 Er
0.322 0.322 0.678 Pu
0.678 0.678 0.322 Pu
0.008 0.679 0.321 S
0.321 0.992 0.008 S
0.500 0.500 0.500 S
0.679 0.008 0.992 S
0.992 0.321 0.679 S

***

# 9
TlCo2Sb GGA-PBE relaxed; energy above the lowest structure with this stoichiometry = 0.563 eV per atom; DOS(E_F) = 1.7406 states/eV per atom; formation energy (no corrections) = 0.81 eV per atom
1.0
0.000 3.326 3.326
3.326 0.000 3.326
3.326 3.326 0.000
Tl Co Sb
1 2 1
Direct
0.000 0.000 0.000 Tl
0.250 0.250 0.250 Co
0.500 0.500 0.500 Co
0.750 0.750 0.750 Sb

***

# 10
La4YN4 GGA-PBE relaxed; DOS(E_F) = 0.4050 states/eV per atom; formation energy (no corrections) = -1.26 eV per atom
1.0
6.137 -1.832 0.000
6.137 1.832 0.000
-4.630 0.000 7.939
La Y N
4 1 4
Direct
0.103 0.103 0.378 La
0.293 0.293 0.187 La
0.707 0.707 0.813 La
0.897 0.897 0.622 La
0.500 0.500 0.000 Y
0.099 0.099 0.912 N
0.311 0.311 0.709 N
0.689 0.689 0.291 N
0.901 0.901 0.088 N

***

# 11
DyHoAsP GGA-PBE relaxed; DOS(E_F) = 0.0995 states/eV per atom; E_form = -1.564 eV/atom
1.0
4.055 0.000 0.000
0.000 4.055 0.000
0.000 0.000 5.731
Dy Ho As P
1 1 1 1
Direct
0.000 0.000 0.000 Dy
0.500 0.500 0.500 Ho
0.500 0.500 0.000 As
0.000 0.000 0.500 P

***

# 12
RbAgBr3 GGA-PBE relaxed; DOS(E_F) = 0.0214 states/eV per atom; formation energy (no corrections) = -0.83 eV per atom
1.0
10.196 0.000 0.000
0.000 7.844 0.000
-5.372 0.000 9.000
Rb Ag Br
4 4 12
Direct
0.168 0.250 0.084 Rb
0.168 0.250 0.584 Rb
0.832 0.750 0.416 Rb
0.832 0.750 0.916 Rb
0.298 0.676 0.399 Ag
0.298 0.824 0.899 Ag
0.702 0.176 0.101 Ag
0.702 0.324 0.601 Ag
0.037 0.537 0.269 Br
0.037 0.963 0.769 Br
0.263 0.748 0.632 Br
0.263 0.752 0.132 Br
0.421 0.246 0.960 Br
0.421 0.254 0.460 Br
0.579 0.746 0.540 Br
0.579 0.754 0.040 Br
0.737 0.248 0.868 Br
0.737 0.252 0.368 Br
0.963 0.037 0.231 Br
0.963 0.463 0.731 Br

***

Which formula does entry 4 have?
Al2CrPb

***

The highest DOS(E_F) belongs to which entry?
ErPu2S5